(1)
A relaxed PuZnAg2O4 crystal, computed with GGA-PBE.

Formation energy without anion corrections (eV/atom): -1.28
Density of states at the Fermi level (states/eV per atom): 0.352

Cell: 5.042 5.177 6.146 Å, 114.90 113.47 90.32°
Positions (direct):
Pu: 0.000 0.000 0.000
Zn: 0.247 0.749 0.493
Ag: 0.506 0.494 0.995
Ag: 0.751 0.255 0.514
O: 0.130 0.066 0.738
O: 0.324 0.867 0.253
O: 0.606 0.681 0.737
O: 0.935 0.390 0.260


(2)
A relaxed Pu2ZnAgO8 crystal, computed with GGA-PBE.

Formation energy without anion corrections (eV/atom): -1.78
Density of states at the Fermi level (states/eV per atom): 0.566

Cell: 6.002 6.002 6.002 Å, 113.74 113.74 101.24°
Positions (direct):
Pu: 0.000 0.000 0.000
Pu: 0.750 0.250 0.500
Zn: 0.250 0.750 0.500
Ag: 0.500 0.500 0.000
O: 0.049 0.353 0.304
O: 0.049 0.745 0.696
O: 0.065 0.270 0.795
O: 0.255 0.951 0.304
O: 0.475 0.270 0.205
O: 0.647 0.951 0.696
O: 0.730 0.525 0.795
O: 0.730 0.935 0.205


M_tot
In order: 3.99 3.00
Unit: Bohr magnetons per cell
V
In order: 131 164
Unit: Å³ per cell